No. 1
Below is a relaxed Na2SrScNi crystal, with properties calculated at the GGA-PBE level.

Cell and atoms, written as POSCAR:
```
Na2SrScNi
1.0
5.7176 0.0000 0.0000
0.0000 5.7176 0.0000
0.0000 0.0000 6.3323
Na Sr Sc Ni
2 1 1 1
Cartesian
0.0000 2.8588 0.0000
2.8588 0.0000 0.0000
0.0000 0.0000 3.1661
0.0000 0.0000 0.0000
2.8588 2.8588 3.1661
```

total energy: -1.91 eV/atom
energy of formation: 1.38 eV/atom
D(E_F): 2.613 states/eV/atom

=====

No. 2
Below is a relaxed MgAsPdO2 crystal, with properties calculated at the GGA-PBE level.

Cell and atoms, written as POSCAR:
```
MgAsPdO2
1.0
3.9533 0.0000 0.0000
0.0000 3.9533 0.0000
0.0000 0.0000 5.1766
Mg As Pd O
1 1 1 2
Cartesian
0.0000 0.0000 0.0000
1.9766 1.9766 0.0000
1.9766 1.9766 2.5883
0.0000 1.9766 2.5883
1.9766 0.0000 2.5883
```

formation energy without anion corrections: -0.0982 eV per atom
total energy: -4.37 eV/atom
D(E_F): 0.803 states/eV/atom

=====

No. 3
Below is a relaxed Ba2TlPdO4 crystal, with properties calculated at the GGA-PBE level.

Cell and atoms, written as POSCAR:
```
Ba2TlPdO4
1.0
-3.2353 3.2353 3.5346
3.2353 -3.2353 3.5346
3.2353 3.2353 -3.5346
Ba Tl Pd O
2 1 1 4
Cartesian
0.0000 0.0000 0.0000
0.0000 3.2353 1.7673
3.2353 0.0000 1.7673
0.0000 0.0000 3.5346
1.9450 1.6757 0.0778
1.5597 -1.2904 3.4568
1.6757 4.5257 -0.0778
1.2904 1.5597 3.6123
```

formation energy without anion corrections: -1.4626 eV per atom
total energy: -5.37 eV/atom
D(E_F): 0.332 states/eV/atom

=====

No. 4
Below is a relaxed BeTlAu crystal, with properties calculated at the GGA-PBE level.

Cell and atoms, written as POSCAR:
```
BeTlAu
1.0
3.6416 0.0000 0.0000
0.0000 3.6416 0.0000
0.0000 0.0000 8.9127
Be Tl Au
2 2 2
Cartesian
0.9104 2.7312 0.0000
2.7312 0.9104 0.0000
0.9104 0.9104 3.2507
2.7312 2.7312 5.6619
0.9104 0.9104 7.4297
2.7312 2.7312 1.4830
```

relative energy among the computed polymorphs: 0.000 eV per atom
total energy: -3.15 eV/atom
energy of formation: -0.03 eV/atom
D(E_F): 0.117 states/eV/atom

=====

No. 5
Below is a relaxed Sm3ErTm2Te6 crystal, with properties calculated at the GGA-PBE level.

Cell and atoms, written as POSCAR:
```
Sm3ErTm2Te6
1.0
9.6067 -2.1632 0.0000
9.6067 2.1632 0.0000
-2.3101 0.0000 8.5521
Sm Er Tm Te
3 1 2 6
Cartesian
0.0000 0.0000 0.0000
4.8802 0.0000 5.7062
12.0232 0.0000 2.8459
-1.1550 0.0000 4.2760
6.0239 0.0000 1.4330
10.8795 0.0000 7.1191
1.7990 0.0000 5.0505
3.0842 0.0000 0.6494
8.9551 0.0000 2.1877
7.9483 0.0000 6.3644
13.8191 0.0000 7.9027
15.1044 0.0000 3.5016
```

formation energy without anion corrections: -1.2886 eV per atom
total energy: -5.16 eV/atom
D(E_F): 0.488 states/eV/atom

=====

No. 6
Below is a relaxed Y2ScAg crystal, with properties calculated at the GGA-PBE level.

Cell and atoms, written as POSCAR:
```
Y2ScAg
1.0
5.2915 0.0000 0.0000
0.0000 5.2915 0.0000
0.0000 0.0000 3.7098
Y Sc Ag
2 1 1
Cartesian
0.0000 2.6457 0.0000
2.6457 0.0000 0.0000
0.0000 0.0000 1.8549
2.6457 2.6457 1.8549
```

relative energy among the computed polymorphs: 0.075 eV per atom
total energy: -5.57 eV/atom
energy of formation: -0.04 eV/atom
D(E_F): 1.465 states/eV/atom

=====

No. 7
Below is a relaxed PuSc2TlC crystal, with properties calculated at the GGA-PBE level.

Cell and atoms, written as POSCAR:
```
PuSc2TlC
1.0
4.6700 0.0000 0.0000
0.0000 4.6700 0.0000
0.0000 0.0000 4.6855
Pu Sc Tl C
1 2 1 1
Cartesian
0.0000 0.0000 0.0000
0.0000 2.3350 2.3427
2.3350 0.0000 2.3427
2.3350 2.3350 0.0000
0.0000 0.0000 2.3427
```

total energy: -8.04 eV/atom
energy of formation: -0.33 eV/atom
D(E_F): 1.836 states/eV/atom

=====

No. 8
Below is a relaxed GaCuNiH2 crystal, with properties calculated at the GGA-PBE level.

Cell and atoms, written as POSCAR:
```
GaCuNiH2
1.0
3.3972 0.0000 0.0000
0.0000 3.3972 0.0000
0.0000 0.0000 5.0214
Ga Cu Ni H
1 1 1 2
Cartesian
0.0000 0.0000 0.0000
1.6986 1.6986 2.5107
0.0000 0.0000 2.5107
0.0000 1.6986 0.0000
1.6986 0.0000 0.0000
```

total energy: -3.38 eV/atom
D(E_F): 0.330 states/eV/atom

=====

Copy entry 3 word for word.
Below is a relaxed Ba2TlPdO4 crystal, with properties calculated at the GGA-PBE level.

Cell and atoms, written as POSCAR:
```
Ba2TlPdO4
1.0
-3.2353 3.2353 3.5346
3.2353 -3.2353 3.5346
3.2353 3.2353 -3.5346
Ba Tl Pd O
2 1 1 4
Cartesian
0.0000 0.0000 0.0000
0.0000 3.2353 1.7673
3.2353 0.0000 1.7673
0.0000 0.0000 3.5346
1.9450 1.6757 0.0778
1.5597 -1.2904 3.4568
1.6757 4.5257 -0.0778
1.2904 1.5597 3.6123
```

formation energy without anion corrections: -1.4626 eV per atom
total energy: -5.37 eV/atom
D(E_F): 0.332 states/eV/atom

=====

> Among the records above, which one has the lowest total energy?

PuSc2TlC

=====

> Which of these has the lowest D(E_F)?

BeTlAu

=====

> Which of these has the lowest D(E_F)?

BeTlAu